<one>
# KZrNi2 PBE relaxed
# Fermi-level density of states, states/eV/cell: 12.33
# Calculated volume, Å³/cell: 297.2
data_KZrNi2
_chemical_formula_sum 'K4 Zr4 Ni8'
_cell_length_a 6.6731
_cell_length_b 6.6731
_cell_length_c 6.6731
_cell_angle_alpha 90.00
_cell_angle_beta 90.00
_cell_angle_gamma 90.00
_space_group_name_H-M_alt 'F m -3 m'
_space_group_IT_number 225
_space_group_name_Hall '-F 4 2 3'
loop_
_atom_site_label
_atom_site_type_symbol
_atom_site_fract_x
_atom_site_fract_y
_atom_site_fract_z
_atom_site_occupancy
K1 K 0.0000 0.0000 0.0000 1
Zr1 Zr 0.0000 0.0000 0.5000 1
Ni1 Ni 0.2500 0.2500 0.2500 1



<two>
# KZrNi2 PBE relaxed
# Fermi-level density of states, states/eV/cell: 3.12
# Calculated volume, Å³/cell: 74.6
data_KZrNi2
_chemical_formula_sum 'K1 Zr1 Ni2'
_cell_length_a 5.0668
_cell_length_b 5.0668
_cell_length_c 2.9054
_cell_angle_alpha 90.00
_cell_angle_beta 90.00
_cell_angle_gamma 90.00
_space_group_name_H-M_alt 'P 4/m m m'
_space_group_IT_number 123
_space_group_name_Hall '-P 4 2'
loop_
_atom_site_label
_atom_site_type_symbol
_atom_site_fract_x
_atom_site_fract_y
_atom_site_fract_z
_atom_site_occupancy
K1 K 0.0000 0.0000 0.0000 1
Zr1 Zr 0.5000 0.5000 0.0000 1
Ni1 Ni 0.0000 0.5000 0.5000 1



It is <two> that is the most stable of them.



<one>
# KNpO4 PBE relaxed
# Fermi-level density of states, states/eV/cell: 1.47
# Calculated volume, Å³/cell: 84.3
data_KNpO4
_chemical_formula_sum 'K1 Np1 O4'
_cell_length_a 3.6226
_cell_length_b 3.6226
_cell_length_c 6.4211
_cell_angle_alpha 90.00
_cell_angle_beta 90.00
_cell_angle_gamma 90.00
_space_group_name_H-M_alt 'P 4/m m m'
_space_group_IT_number 123
_space_group_name_Hall '-P 4 2'
loop_
_atom_site_label
_atom_site_type_symbol
_atom_site_fract_x
_atom_site_fract_y
_atom_site_fract_z
_atom_site_occupancy
K1 K 0.0000 0.0000 0.0000 1
Np1 Np 0.5000 0.5000 0.5000 1
O1 O 0.0000 0.5000 0.3160 1



<two>
# KNpO4 PBE relaxed
# Calculated volume, Å³/cell: 213.7
data_KNpO4
_chemical_formula_sum 'K2 Np2 O8'
_cell_length_a 6.3732
_cell_length_b 5.7402
_cell_length_c 5.9911
_cell_angle_alpha 90.00
_cell_angle_beta 102.78
_cell_angle_gamma 90.00
_space_group_name_H-M_alt 'P 1 21/c 1'
_space_group_IT_number 14
loop_
_space_group_symop_operation_xyz
'x,y,z'
'-x,-y,-z'
'-x,y+1/2,-z+1/2'
'x,-y+1/2,z+1/2'
loop_
_atom_site_label
_atom_site_type_symbol
_atom_site_fract_x
_atom_site_fract_y
_atom_site_fract_z
_atom_site_occupancy
K1 K 0.0000 0.0000 0.0000 1
Np1 Np 0.5000 0.0000 0.5000 1
O1 O 0.2196 0.1104 0.4436 1
O2 O 0.4113 0.7142 0.7341 1



It is <two> that is the most stable of them.



<one>
# K3NpO6 PBE relaxed
# Fermi-level density of states, states/eV/cell: 11.99
# Calculated volume, Å³/cell: 393.9
data_K3NpO6
_chemical_formula_sum 'K6 Np2 O12'
_cell_length_a 6.5114
_cell_length_b 6.5114
_cell_length_c 10.7263
_cell_angle_alpha 90.00
_cell_angle_beta 90.00
_cell_angle_gamma 120.00
_space_group_name_H-M_alt 'P 63 2 2'
_space_group_IT_number 182
_space_group_name_Hall 'P 6c 2c'
loop_
_atom_site_label
_atom_site_type_symbol
_atom_site_fract_x
_atom_site_fract_y
_atom_site_fract_z
_atom_site_occupancy
K1 K 0.0000 0.0000 0.0000 1
K2 K 0.3333 0.6667 0.0803 1
Np1 Np 0.3333 0.6667 0.7500 1
O1 O 0.1002 0.4198 0.6395 1



<two>
# K3NpO6 PBE relaxed
# Calculated volume, Å³/cell: 357.0
data_K3NpO6
_chemical_formula_sum 'K6 Np2 O12'
_cell_length_a 5.4741
_cell_length_b 6.6464
_cell_length_c 11.1724
_cell_angle_alpha 90.00
_cell_angle_beta 118.57
_cell_angle_gamma 90.00
_space_group_name_H-M_alt 'P 1 21/c 1'
_space_group_IT_number 14
loop_
_space_group_symop_operation_xyz
'x,y,z'
'-x,-y,-z'
'-x,y+1/2,-z+1/2'
'x,-y+1/2,z+1/2'
loop_
_atom_site_label
_atom_site_type_symbol
_atom_site_fract_x
_atom_site_fract_y
_atom_site_fract_z
_atom_site_occupancy
K1 K 0.0000 0.0000 0.0000 1
K2 K 0.2680 0.0432 0.7649 1
Np1 Np 0.5000 0.0000 0.5000 1
O1 O 0.0903 0.5842 0.0039 1
O2 O 0.2924 0.0309 0.3017 1
O3 O 0.4717 0.2168 0.0194 1



It is <two> that is the most stable of them.



<one>
# K3Np2O7 PBE relaxed
# Fermi-level density of states, states/eV/cell: 10.21
# Calculated volume, Å³/cell: 420.6
data_K3Np2O7
_chemical_formula_sum 'K6 Np4 O14'
_cell_length_a 4.3226
_cell_length_b 22.7099
_cell_length_c 4.2842
_cell_angle_alpha 90.00
_cell_angle_beta 90.00
_cell_angle_gamma 90.00
_space_group_name_H-M_alt 'C m m m'
_space_group_IT_number 65
_space_group_name_Hall '-C 2 2'
loop_
_atom_site_label
_atom_site_type_symbol
_atom_site_fract_x
_atom_site_fract_y
_atom_site_fract_z
_atom_site_occupancy
K1 K 0.0000 0.0000 0.0000 1
K2 K 0.0000 0.1830 0.0000 1
Np1 Np 0.0000 0.4059 0.5000 1
O1 O 0.0000 0.0930 0.5000 1
O2 O 0.0000 0.3201 0.5000 1
O3 O 0.0000 0.4068 0.0000 1
O4 O 0.0000 0.5000 0.5000 1



<two>
# K3Np2O7 PBE relaxed
# Fermi-level density of states, states/eV/cell: 10.22
# Calculated volume, Å³/cell: 408.7
data_K3Np2O7
_chemical_formula_sum 'K6 Np4 O14'
_cell_length_a 4.3055
_cell_length_b 4.3055
_cell_length_c 22.0449
_cell_angle_alpha 90.00
_cell_angle_beta 90.00
_cell_angle_gamma 90.00
_space_group_name_H-M_alt 'I 4/m m m'
_space_group_IT_number 139
_space_group_name_Hall '-I 4 2'
loop_
_atom_site_label
_atom_site_type_symbol
_atom_site_fract_x
_atom_site_fract_y
_atom_site_fract_z
_atom_site_occupancy
K1 K 0.0000 0.0000 0.0000 1
K2 K 0.0000 0.0000 0.1906 1
Np1 Np 0.0000 0.0000 0.4031 1
O1 O 0.0000 0.0000 0.3144 1
O2 O 0.0000 0.0000 0.5000 1
O3 O 0.0000 0.5000 0.0955 1



It is <two> that is the most stable of them.



<one>
# K5Np3O12 PBE relaxed
# Fermi-level density of states, states/eV/cell: 79.81
# Calculated volume, Å³/cell: 3376.0
data_K5Np3O12
_chemical_formula_sum 'K40 Np24 O96'
_cell_length_a 15.0015
_cell_length_b 15.0015
_cell_length_c 15.0015
_cell_angle_alpha 90.00
_cell_angle_beta 90.00
_cell_angle_gamma 90.00
_space_group_name_H-M_alt 'I a -3 d'
_space_group_IT_number 230
_space_group_name_Hall '-I 4bd 2c 3'
loop_
_atom_site_label
_atom_site_type_symbol
_atom_site_fract_x
_atom_site_fract_y
_atom_site_fract_z
_atom_site_occupancy
K1 K 0.0000 0.0000 0.0000 1
K2 K 0.0000 0.2500 0.3750 1
Np1 Np 0.0000 0.2500 0.1250 1
O1 O 0.0275 0.0386 0.1749 1



<two>
# K5Np3O12 PBE relaxed
# Fermi-level density of states, states/eV/cell: 11.09
# Calculated volume, Å³/cell: 357.5
data_K5Np3O12
_chemical_formula_sum 'K5 Np3 O12'
_cell_length_a 10.8559
_cell_length_b 10.8559
_cell_length_c 3.5025
_cell_angle_alpha 90.00
_cell_angle_beta 90.00
_cell_angle_gamma 120.00
_space_group_name_H-M_alt 'P -6 2 m'
_space_group_IT_number 189
_space_group_name_Hall 'P -6 -2'
loop_
_atom_site_label
_atom_site_type_symbol
_atom_site_fract_x
_atom_site_fract_y
_atom_site_fract_z
_atom_site_occupancy
K1 K 0.0000 0.7123 0.0000 1
K2 K 0.3333 0.6667 0.0000 1
Np1 Np 0.0000 0.3376 0.5000 1
O1 O 0.0000 0.2192 0.0000 1
O2 O 0.0000 0.4569 0.0000 1
O3 O 0.2016 0.4340 0.5000 1



It is <two> that is the most stable of them.



<one>
# KNpP2 PBE relaxed
# Fermi-level density of states, states/eV/cell: 21.13
# Calculated volume, Å³/cell: 328.8
data_KNpP2
_chemical_formula_sum 'K3 Np3 P6'
_cell_length_a 4.1098
_cell_length_b 4.1098
_cell_length_c 22.4782
_cell_angle_alpha 90.00
_cell_angle_beta 90.00
_cell_angle_gamma 120.00
_space_group_name_H-M_alt 'R 3 m'
_space_group_IT_number 160
_space_group_name_Hall 'R 3 -2"'
loop_
_atom_site_label
_atom_site_type_symbol
_atom_site_fract_x
_atom_site_fract_y
_atom_site_fract_z
_atom_site_occupancy
K1 K 0.0000 0.0000 0.0000 1
Np1 Np 0.0000 0.0000 0.1705 1
P1 P 0.0000 0.0000 0.5623 1
P2 P 0.0000 0.0000 0.7785 1



<two>
# KNpP2 PBE relaxed
# Fermi-level density of states, states/eV/cell: 20.94
# Calculated volume, Å³/cell: 325.4
data_KNpP2
_chemical_formula_sum 'K3 Np3 P6'
_cell_length_a 4.1299
_cell_length_b 4.1299
_cell_length_c 22.0273
_cell_angle_alpha 90.00
_cell_angle_beta 90.00
_cell_angle_gamma 120.00
_space_group_name_H-M_alt 'R -3 m'
_space_group_IT_number 166
_space_group_name_Hall '-R 3 2"'
loop_
_atom_site_label
_atom_site_type_symbol
_atom_site_fract_x
_atom_site_fract_y
_atom_site_fract_z
_atom_site_occupancy
K1 K 0.0000 0.0000 0.0000 1
Np1 Np 0.0000 0.0000 0.5000 1
P1 P 0.0000 0.0000 0.2255 1



It is <two> that is the most stable of them.